VASP calculation (GGA-PBE) on a geometry-optimized NbInPb3 structure.

Cell lengths 5.5469, 5.5469, 5.5469 Å; angles 90.00, 90.00, 90.00 degrees
Sites, in units of the cell vectors:
Pb 0.0000 0.5000 0.0000
Pb 0.0000 0.0000 0.5000
Pb 0.5000 0.0000 0.0000
Nb 0.0000 0.0000 0.0000
In 0.5000 0.5000 0.5000

Summary:
DOS at the Fermi energy	4.00	states/eV/cell
energy of formation from the pure elements	0.3948	eV/atom
calculated density	8.07	g cm⁻³